Material: Mg2InRh
Method: DFT, SCAN
State: PBEsol geometry

Lattice parameters (Å, degrees): 4.6124 4.6124 4.6124 60.00 60.00 60.00
Last column: nearest neighbours and their distance in Å.
Fractional coordinates of all 4 atoms:
Mg (0.0000, 0.0000, 0.0000)  4 Mg 2.82, 4 Rh 2.82
Mg (0.2500, 0.2500, 0.2500)  4 In 2.82, 4 Mg 2.82
In (0.5000, 0.5000, 0.5000)  4 Rh 2.82, 4 Mg 2.82
Rh (0.7500, 0.7500, 0.7500)  4 In 2.82, 4 Mg 2.82

Values from the calculation:
Calculated volume (Å³ per cell): 69
Energy relative to the elements (eV per atom): -0.411
Total DFT energy (no corrections) (eV per atom): -19.688
Space-group type: No. 216